1.
Density functional theory data (PBE-GGA) for crystalline CdPbCl3 at its relaxed geometry.

Its uncorrected formation energy is -3.17 eV per formula unit. For the density of states at the Fermi level, the calculation gives 0.259 states/eV/atom. The calculation puts the excess energy over the best structure of this formula in the dataset at 0.07 eV/f.u. The theoretical density comes out at 4.04 g/cm3. The total energy comes out at -0.1960 Ry per atom.

a b c (Å): 5.593 5.593 5.593
angles (deg): 90.00 90.00 90.00
Last column: magnetic moment on the atom in μB.
Sites, in units of the cell vectors:
1 Cl 0.000 0.000 0.500  0.04
2 Cl 0.500 0.000 0.000  0.04
3 Cl 0.000 0.500 0.000  0.06
4 Pb 0.000 0.000 0.000  0.01
5 Cd 0.500 0.500 0.500  0.32



2.
Density functional theory data (PBE-GGA) for crystalline Tm2AgGe at its relaxed geometry.

For the density of states at the Fermi level, the calculation gives 0.848 states/eV/atom. As for the formation energy: -0.5141 eV per atom. The theoretical density comes out at 9.62 g/cm3. The total energy comes out at -0.3393 Ry per atom.

a b c (Å): 3.676 4.934 4.934
angles (deg): 90.00 90.00 90.00
Sites, in units of the cell vectors:
1 Tm 0.000 0.500 0.000
2 Tm 0.000 0.000 0.500
3 Ge 0.500 0.000 0.000
4 Ag 0.500 0.500 0.500



3.
Density functional theory data (PBE-GGA) for crystalline Ho2Sn3Rh4 at its relaxed geometry.

For the density of states at the Fermi level, the calculation gives 0.657 states/eV/atom. As for the formation energy: -0.7469 eV per atom. The theoretical density comes out at 10.26 g/cm3. The total energy comes out at -0.4679 Ry per atom.

a b c (Å): 5.993 7.298 8.659
angles (deg): 90.00 110.25 90.00
Sites, in units of the cell vectors:
1 Sn 0.500 0.500 0.000
2 Sn 0.000 0.000 0.000
3 Sn 0.985 0.250 0.471
4 Sn 0.015 0.750 0.529
5 Sn 0.485 0.250 0.471
6 Sn 0.515 0.750 0.529
7 Ho 0.398 0.082 0.797
8 Ho 0.102 0.582 0.203
9 Ho 0.898 0.418 0.797
10 Ho 0.602 0.918 0.203
11 Rh 0.320 0.250 0.141
12 Rh 0.331 0.472 0.663
13 Rh 0.169 0.972 0.337
14 Rh 0.680 0.750 0.859
15 Rh 0.831 0.028 0.663
16 Rh 0.180 0.750 0.859
17 Rh 0.820 0.250 0.141
18 Rh 0.669 0.528 0.337



4.
Density functional theory data (PBE-GGA) for crystalline CdAgSb2 at its relaxed geometry.

Its uncorrected formation energy is 0.31 eV per formula unit. For the density of states at the Fermi level, the calculation gives 0.244 states/eV/atom. The calculation puts the excess energy over the best structure of this formula in the dataset at 0.00 eV/f.u. The theoretical density comes out at 7.85 g/cm3. The total energy comes out at -0.2149 Ry per atom.

a b c (Å): 4.400 3.130 7.286
angles (deg): 77.95 90.00 90.00
Sites, in units of the cell vectors:
1 Sb 0.500 0.036 0.295
2 Sb 0.000 0.205 0.962
3 Cd 0.500 0.830 0.726
4 Ag 0.000 0.429 0.516